# Sm3Y8Th2 (PBE-GGA, optimized geometry)
# Energy above the most stable polymorph in this dataset in eV/f.u.: 0.00
# Total magnetization in μB/f.u.: 0.0
# Energy of formation from the pure elements in eV per atom: 0.0796
# Space group: P-1 (2)
# ρ in g cm⁻³: 6.3
data_Sm3Y8Th2
_space_group_name_H-M_alt 'P 1'
_space_group_IT_number 1
_cell_length_a 6.8366
_cell_length_b 8.6765
_cell_length_c 14.9446
_cell_angle_alpha 87.31
_cell_angle_beta 84.96
_cell_angle_gamma 76.73
loop_
_space_group_symop_operation_xyz
'x,y,z'
loop_
_atom_site_label
_atom_site_fract_x
_atom_site_fract_y
_atom_site_fract_z
Sm1 0.0000 0.0000 0.0000
Sm2 0.0955 0.5445 0.3579
Sm3 0.4011 0.9494 0.1438
Sm4 0.5000 0.5000 0.5000
Sm5 0.5989 0.0506 0.8562
Sm6 0.9045 0.4555 0.6421
Y1 0.0511 0.3054 0.1725
Y2 0.0949 0.7839 0.6090
Y3 0.1229 0.0833 0.7734
Y4 0.2486 0.8708 0.3830
Y5 0.2502 0.6252 0.1130
Y6 0.2807 0.1371 0.5483
Y7 0.3860 0.4218 0.7275
Y8 0.4074 0.7209 0.8922
Y9 0.5926 0.2791 0.1078
Y10 0.6140 0.5782 0.2725
Y11 0.7193 0.8629 0.4517
Y12 0.7498 0.3748 0.8870
Y13 0.7514 0.1292 0.6170
Y14 0.8771 0.9167 0.2266
Y15 0.9051 0.2161 0.3910
Y16 0.9489 0.6946 0.8275
Th1 0.2160 0.3592 0.9496
Th2 0.4404 0.1931 0.3241
Th3 0.5596 0.8069 0.6759
Th4 0.7840 0.6408 0.0504


# Y2ZnCuO5 (PBE-GGA, optimized geometry)
# Total magnetization in μB/f.u.: 0.7
# Space group: P4/mbm (127)
# ρ in g cm⁻³: 5.5
# Energy relative to the elements, uncorrected in meV/atom: -1992
data_Y2ZnCuO5
_space_group_name_H-M_alt 'P 1'
_space_group_IT_number 1
_cell_length_a 6.5009
_cell_length_b 6.5009
_cell_length_c 5.5170
_cell_angle_alpha 90.00
_cell_angle_beta 90.00
_cell_angle_gamma 90.00
loop_
_space_group_symop_operation_xyz
'x,y,z'
loop_
_atom_site_label
_atom_site_fract_x
_atom_site_fract_y
_atom_site_fract_z
Y1 0.1731 0.3269 0.0000
Y2 0.3269 0.8269 0.0000
Y3 0.6731 0.1731 0.0000
Y4 0.8269 0.6731 0.0000
Zn1 0.0000 0.0000 0.5000
Zn2 0.5000 0.5000 0.5000
Cu1 0.0000 0.5000 0.5000
Cu2 0.5000 0.0000 0.5000
O1 0.0000 0.0000 0.0000
O2 0.1390 0.6390 0.2534
O3 0.1390 0.6390 0.7466
O4 0.3610 0.1390 0.2534
O5 0.3610 0.1390 0.7466
O6 0.5000 0.5000 0.0000
O7 0.6390 0.8610 0.2534
O8 0.6390 0.8610 0.7466
O9 0.8610 0.3610 0.2534
O10 0.8610 0.3610 0.7466


# KTiHg3 (PBE-GGA, optimized geometry)
# Energy above the most stable polymorph in this dataset in eV/f.u.: 0.00
# Total magnetization in μB/f.u.: 2.3
# Energy of formation from the pure elements in eV per atom: 0.1292
# Space group: Pm-3m (221)
# ρ in g cm⁻³: 7.0
data_KTiHg3
_space_group_name_H-M_alt 'P 1'
_space_group_IT_number 1
_cell_length_a 5.4758
_cell_length_b 5.4758
_cell_length_c 5.4758
_cell_angle_alpha 90.00
_cell_angle_beta 90.00
_cell_angle_gamma 90.00
loop_
_space_group_symop_operation_xyz
'x,y,z'
loop_
_atom_site_label
_atom_site_fract_x
_atom_site_fract_y
_atom_site_fract_z
K1 0.0000 0.0000 0.0000
Ti1 0.5000 0.5000 0.5000
Hg1 0.0000 0.5000 0.5000
Hg2 0.5000 0.0000 0.5000
Hg3 0.5000 0.5000 0.0000